No. 1
This record from Alexandria via LeMat-Bulk describes a relaxed DyNpAs2 crystal. The functional is PBE.

Geometry as POSCAR:
```
DyNpAs2
1.0
2.052 1.185 6.733
-2.052 1.185 6.733
0.000 -2.369 6.733
Dy Np As
1 1 2
Direct
0.000 0.000 0.000
0.500 0.500 0.500
0.249 0.249 0.249
0.751 0.751 0.751
```

Computed properties:
- Energy of formation: -1.105 eV/atom
- Energy relative to the lowest polymorph listed for this composition: 0 meV per atom
- ρ: 9.3 g cm⁻³

No. 2
This record from Alexandria via LeMat-Bulk describes a relaxed SrSb3I crystal. The functional is PBE.

Geometry as POSCAR:
```
SrSb3I
1.0
6.121 0.000 0.000
0.000 6.121 0.000
0.000 0.000 6.121
Sr Sb I
1 3 1
Direct
0.000 0.000 0.000
0.000 0.000 0.500
0.000 0.500 0.000
0.500 0.000 0.000
0.500 0.500 0.500
```

Computed properties:
- Energy relative to the lowest polymorph listed for this composition: 360 meV per atom
- ρ: 4.2 g cm⁻³
- Formation energy (no corrections): 0.742 eV/atom

No. 3
This record from Alexandria via LeMat-Bulk describes a relaxed Np2Sn2Ru3 crystal. The functional is PBE.

Geometry as POSCAR:
```
Np2Sn2Ru3
1.0
6.361 -2.302 0.000
6.361 2.302 0.000
-0.499 0.000 5.010
Np Sn Ru
2 2 3
Direct
0.151 0.151 0.367
0.849 0.849 0.633
0.408 0.408 0.178
0.592 0.592 0.822
0.000 0.000 0.000
0.214 0.214 0.830
0.786 0.786 0.170
```

Computed properties:
- Energy of formation: -0.126 eV/atom
- ρ: 11.5 g cm⁻³